First-principles (GGA-PBE) data for a geometry-optimized LaPrCu2 structure, as listed in the Alexandria database.

Properties
* energy of formation: -0.13 eV/atom
* SG: P4/mmm (123)
* energy above the most stable polymorph in this dataset: 0.0372 eV per atom

CIF file:
```
data_LaPrCu2
_cell_length_a 3.634
_cell_length_b 3.634
_cell_length_c 7.279
_cell_angle_alpha 90.00
_cell_angle_beta 90.00
_cell_angle_gamma 90.00
_space_group_name_H-M_alt 'P 1'
_space_group_IT_number 1
loop_
_space_group_symop_operation_xyz
'x,y,z'
loop_
_atom_site_label
_atom_site_fract_x
_atom_site_fract_y
_atom_site_fract_z
_atom_site_occupancy
Cu1 0.000 0.000 0.255 1
Cu2 0.000 0.000 0.745 1
La1 0.500 0.500 0.000 1
Pr1 0.500 0.500 0.500 1
```